1.
Ba4P5 | GGA-PBE | optimized geometry

Output
- symmetry = P6_3/mcm (193)
- energy relative to the elements (eV/atom) = -0.31

a b c (Å): 9.590 9.590 6.687
angles (deg): 90.00 90.00 120.00
Positions (direct):
P: 0.000 0.711 0.250
P: 0.289 0.289 0.250
P: 0.711 0.000 0.250
P: 0.000 0.289 0.750
P: 0.711 0.711 0.750
P: 0.289 0.000 0.750
P: 0.667 0.333 0.000
P: 0.333 0.667 0.500
P: 0.333 0.667 0.000
P: 0.667 0.333 0.500
Ba: 0.000 0.000 0.000
Ba: 0.000 0.000 0.500
Ba: 0.000 0.388 0.250
Ba: 0.612 0.612 0.250
Ba: 0.388 0.000 0.250
Ba: 0.000 0.612 0.750
Ba: 0.388 0.388 0.750
Ba: 0.612 0.000 0.750

=====

2.
Nd4DyHg | GGA-PBE | optimized geometry

Output
- ΔE to the lowest computed polymorph (meV/atom) = 94
- symmetry = C2/c (15)
- energy relative to the elements (eV/atom) = -0.05

a b c (Å): 6.511 9.214 8.415
angles (deg): 113.50 100.15 112.63
Positions (direct):
Nd: 0.045 0.169 0.771
Nd: 0.760 0.711 0.622
Nd: 0.226 0.601 0.771
Nd: 0.362 0.911 0.622
Nd: 0.638 0.089 0.378
Nd: 0.774 0.399 0.229
Nd: 0.240 0.289 0.378
Nd: 0.955 0.831 0.229
Dy: 0.342 0.592 0.184
Dy: 0.658 0.408 0.816
Hg: 0.252 0.002 0.003
Hg: 0.748 0.998 0.997

=====

3.
Tb7Mg2Sc | GGA-PBE | optimized geometry

Output
- symmetry = Cmmm (65)
- energy relative to the elements (eV/atom) = 0.58

a b c (Å): 5.073 9.316 9.316
angles (deg): 123.62 90.00 90.00
Positions (direct):
Tb: 0.000 0.794 0.206
Tb: 0.000 0.206 0.794
Tb: 0.500 0.072 0.291
Tb: 0.500 0.928 0.709
Tb: 0.500 0.291 0.072
Tb: 0.500 0.709 0.928
Tb: 0.500 0.500 0.500
Mg: 0.500 0.699 0.301
Mg: 0.500 0.301 0.699
Sc: 0.000 0.000 0.000

=====

4.
BaLa2Co2 | GGA-PBE | optimized geometry

Output
- ΔE to the lowest computed polymorph (meV/atom) = 77
- symmetry = P4/mbm (127)
- energy relative to the elements (eV/atom) = 0.26

a b c (Å): 8.536 8.536 3.422
angles (deg): 90.00 90.00 90.00
Positions (direct):
Co: 0.132 0.632 0.500
Co: 0.632 0.868 0.500
Co: 0.868 0.368 0.500
Co: 0.368 0.132 0.500
Ba: 0.000 0.000 0.000
Ba: 0.500 0.500 0.000
La: 0.360 0.860 0.000
La: 0.860 0.640 0.000
La: 0.640 0.140 0.000
La: 0.140 0.360 0.000